# 1
VASP calculation (PBE) on AcScIn after structural relaxation.

Cell lengths 4.1012, 5.1929, 5.1929 Å; angles 120.00, 90.00, 90.00 degrees
Last column: nearest neighbours and their distance in Å.
Element x y z (fractional)
Ac 0.3332 0.3333 0.6667  6 In 3.63, 6 Sc 3.63
In 0.8338 0.6667 0.3333  3 Sc 3.00
Sc 0.8329 0.0000 0.0000  3 In 3.00

Properties
- energy of formation (kcal/mol of atoms) = -4.76
- DFT total energy (eV per atom) = -4.599
- total magnetic moment (μB per cell) = 0.07
- symmetry = No. 187
- excess energy over the best structure of this formula in the dataset (meV/atom) = 121

# 2
VASP calculation (PBE) on Cu5P after structural relaxation.

Cell lengths 3.6614, 3.6362, 5.7258 Å; angles 108.51, 90.00, 90.00 degrees
Last column: nearest neighbours and their distance in Å.
Element x y z (fractional)
Cu 0.5000 0.8324 0.6648  10 Cu 2.55-2.59, 2 P 2.58
Cu 0.0000 0.6634 0.3267  2 P 2.54, 10 Cu 2.55-2.62
P 0.0000 0.0000 0.0000  12 Cu 2.54-2.58
Cu 0.0000 0.3366 0.6733  2 P 2.54, 10 Cu 2.55-2.62
Cu 0.5000 0.5000 0.0000  8 Cu 2.55-2.57, 4 P 2.58
Cu 0.5000 0.1676 0.3352  10 Cu 2.55-2.59, 2 P 2.58

Properties
- energy of formation (kcal/mol of atoms) = 0.23
- DFT total energy (eV per atom) = -4.305
- total magnetic moment (μB per cell) = 0.00
- symmetry = No. 65
- excess energy over the best structure of this formula in the dataset (meV/atom) = 0

# 3
VASP calculation (PBE) on Zn2Au after structural relaxation.

Cell lengths 4.8317, 4.8317, 4.8317 Å; angles 139.23, 139.20, 59.05 degrees
Last column: nearest neighbours and their distance in Å.
Element x y z (fractional)
Zn 0.6697 0.6697 0.0000  5 Zn 2.74-2.85, 5 Au 2.78
Au 0.0000 0.0000 0.0000  10 Zn 2.78
Zn 0.3303 0.3303 0.0000  5 Zn 2.74-2.85, 5 Au 2.78

Properties
- energy of formation (kcal/mol of atoms) = -4.04
- DFT total energy (eV per atom) = -2.117
- total magnetic moment (μB per cell) = 0.00
- symmetry = No. 139

# 4
VASP calculation (PBE) on TbPm5Nd6 after structural relaxation.

Cell lengths 5.1773, 10.3377, 9.6640 Å; angles 122.23, 105.56, 90.05 degrees
Last column: nearest neighbours and their distance in Å.
Element x y z (fractional)
Nd 0.8336 0.5844 0.6672  7 Pm 3.65-3.67, 1 Tb 3.65, 4 Nd 3.65-3.67
Nd 0.5000 0.2489 0.0000  6 Pm 3.64-3.67, 2 Tb 3.65, 4 Nd 3.65-3.66
Pm 0.3332 0.3332 0.6664  8 Nd 3.65-3.67, 4 Pm 3.66
Nd 0.8336 0.0829 0.6672  1 Tb 3.64, 7 Pm 3.65-3.67, 4 Nd 3.65-3.67
Pm 0.6668 0.6668 0.3336  8 Nd 3.65-3.67, 4 Pm 3.66
Nd 0.1664 0.9171 0.3328  1 Tb 3.64, 7 Pm 3.65-3.67, 4 Nd 3.65-3.67
Pm 0.3339 0.8339 0.6677  8 Nd 3.64-3.67, 2 Tb 3.65, 2 Pm 3.66
Nd 0.5000 0.7511 0.0000  6 Pm 3.64-3.67, 2 Tb 3.65, 4 Nd 3.65-3.66
Nd 0.1664 0.4156 0.3328  7 Pm 3.65-3.67, 1 Tb 3.65, 4 Nd 3.65-3.67
Tb 0.0000 0.0000 0.0000  8 Nd 3.64-3.65, 4 Pm 3.65
Pm 0.6661 0.1661 0.3323  8 Nd 3.64-3.67, 2 Tb 3.65, 2 Pm 3.66
Pm 0.0000 0.5000 0.0000  8 Nd 3.65-3.67, 4 Pm 3.66

Properties
- energy of formation (kcal/mol of atoms) = 0.30
- DFT total energy (eV per atom) = -4.736
- total magnetic moment (μB per cell) = 0.00
- symmetry = No. 2

# 5
VASP calculation (PBE) on Ca2Zn2Pb after structural relaxation.

Cell lengths 3.7245, 4.6235, 7.6150 Å; angles 107.67, 90.00, 90.00 degrees
Last column: nearest neighbours and their distance in Å.
Element x y z (fractional)
Ca 0.5000 0.6223 0.2445  6 Zn 3.09-3.22
Pb 0.0000 0.0000 0.0000  2 Zn 3.02
Zn 0.0000 0.2081 0.4162  2 Zn 2.61
Ca 0.5000 0.3777 0.7555  6 Zn 3.09-3.22
Zn 0.0000 0.7919 0.5838  2 Zn 2.61

Properties
- energy of formation (kcal/mol of atoms) = -8.56
- DFT total energy (eV per atom) = -2.423
- total magnetic moment (μB per cell) = 0.00
- symmetry = No. 65
- excess energy over the best structure of this formula in the dataset (meV/atom) = 0

# 6
VASP calculation (PBE) on ZrAuS2Cl after structural relaxation.

Cell lengths 5.0062, 5.0062, 4.9848 Å; angles 90.00, 90.00, 90.00 degrees
Last column: nearest neighbours and their distance in Å.
Element x y z (fractional)
Zr 0.0000 0.0000 0.0000  2 Cl 2.49, 4 S 2.50
S 0.5000 0.0000 0.0000  2 Zr 2.50
Au 0.5000 0.5000 0.5000  8 S 3.53, 4 Cl 3.54
S 0.0000 0.5000 0.0000  2 Zr 2.50
Cl 0.0000 0.0000 0.5000  2 Zr 2.49

Properties
- DFT total energy (eV per atom) = -4.842
- total magnetic moment (μB per cell) = 0.00
- E_form (uncorrected) (eV/atom) = -0.457
- symmetry = No. 123
- excess energy over the best structure of this formula in the dataset (meV/atom) = 0

# 7
VASP calculation (PBE) on FeHgCl14 after structural relaxation.

Cell lengths 9.8242, 9.8240, 12.0777 Å; angles 55.27, 55.27, 92.90 degrees
Last column: nearest neighbours and their distance in Å.
Element x y z (fractional)
Cl 0.9244 0.0756 0.5000  2 Cl 2.29
Cl 0.4632 0.0638 0.2700  1 Fe 2.12
Cl 0.2780 0.0808 0.6452  2 Cl 2.25-2.33
Cl 0.3249 0.3818 0.4713  2 Cl 2.25-2.28
Fe 0.7658 0.2342 0.0000  4 Cl 2.12
Cl 0.9131 0.2469 0.0743  1 Fe 2.12
Cl 0.4712 0.5288 0.5000  2 Cl 2.28
Cl 0.7531 0.0869 0.9257  1 Fe 2.12
Cl 0.9362 0.5368 0.7300  1 Fe 2.12
Hg 0.3101 0.6899 0.0000  4 Cl 2.51-2.61
Cl 0.6715 0.8079 0.8362  1 Cl 2.29
Cl 0.6182 0.6751 0.5287  2 Cl 2.25-2.28
Cl 0.1921 0.3285 0.1638  1 Cl 2.29
Cl 0.2345 0.7755 0.1804  1 Cl 2.33, 1 Hg 2.51
Cl 0.2245 0.7655 0.8196  1 Cl 2.33, 1 Hg 2.51
Cl 0.9192 0.7220 0.3548  2 Cl 2.25-2.33

Properties
- DFT total energy (eV per atom) = -2.408
- total magnetic moment (μB per cell) = 3.88
- E_form (uncorrected) (eV/atom) = -0.244
- symmetry = No. 5

# 8
VASP calculation (PBE) on NaIn2Hg5 after structural relaxation.

Cell lengths 8.0941, 8.0941, 8.6364 Å; angles 117.94, 117.94, 90.00 degrees
Last column: nearest neighbours and their distance in Å.
Element x y z (fractional)
Hg 0.6804 0.1804 0.6650  3 Hg 3.10-3.26, 3 In 3.15-3.26, 2 Na 3.25
Hg 0.8196 0.0154 0.3350  3 Hg 3.10-3.26, 3 In 3.15-3.26, 2 Na 3.25
Hg 0.0154 0.5154 0.3350  3 Hg 3.10-3.26, 3 In 3.15-3.26, 2 Na 3.25
Hg 0.3196 0.8196 0.3350  3 Hg 3.10-3.26, 3 In 3.15-3.26, 2 Na 3.25
Hg 0.4846 0.6804 0.6650  3 Hg 3.10-3.26, 3 In 3.15-3.26, 2 Na 3.25
Hg 0.0000 0.0000 0.0000  4 In 3.09, 2 Na 3.23
Hg 0.5154 0.3196 0.3350  3 Hg 3.10-3.26, 3 In 3.15-3.26, 2 Na 3.25
In 0.6487 0.1487 0.0000  8 Hg 3.09-3.26, 1 In 3.40
Na 0.2500 0.2500 0.5000  10 Hg 3.23-3.25
Na 0.7500 0.7500 0.5000  10 Hg 3.23-3.25
In 0.3513 0.8513 0.0000  8 Hg 3.09-3.26, 1 In 3.40
Hg 0.9846 0.4846 0.6650  3 Hg 3.10-3.26, 3 In 3.15-3.26, 2 Na 3.25
Hg 0.1804 0.9846 0.6650  3 Hg 3.10-3.26, 3 In 3.15-3.26, 2 Na 3.25
In 0.8513 0.6487 0.0000  8 Hg 3.09-3.26, 1 In 3.40
In 0.1487 0.3513 0.0000  8 Hg 3.09-3.26, 1 In 3.40
Hg 0.5000 0.5000 0.0000  4 In 3.09, 2 Na 3.23

Properties
- energy of formation (kcal/mol of atoms) = -1.68
- DFT total energy (eV per atom) = -1.111
- total magnetic moment (μB per cell) = 0.00
- symmetry = No. 140
- excess energy over the best structure of this formula in the dataset (meV/atom) = 11

# 9
VASP calculation (PBE) on TaTiTcRu after structural relaxation.

Cell lengths 4.4360, 4.4360, 4.4360 Å; angles 60.00, 60.00, 60.00 degrees
Last column: nearest neighbours and their distance in Å.
Element x y z (fractional)
Tc 0.7500 0.7500 0.7500  4 Ti 2.72, 4 Ta 2.72
Ti 0.5000 0.5000 0.5000  4 Tc 2.72, 4 Ru 2.72
Ru 0.2500 0.2500 0.2500  4 Ti 2.72, 4 Ta 2.72
Ta 0.0000 0.0000 0.0000  4 Tc 2.72, 4 Ru 2.72

Properties
- energy of formation (kcal/mol of atoms) = -13.94
- DFT total energy (eV per atom) = -10.452
- total magnetic moment (μB per cell) = 0.00
- symmetry = No. 216
- excess energy over the best structure of this formula in the dataset (meV/atom) = 0

# 10
VASP calculation (PBE) on LiYLuTc after structural relaxation.

Cell lengths 4.8975, 4.8975, 4.8975 Å; angles 60.00, 60.00, 60.00 degrees
Last column: nearest neighbours and their distance in Å.
Element x y z (fractional)
Li 0.2500 0.2500 0.2500  4 Lu 3.00, 4 Y 3.00
Lu 0.5000 0.5000 0.5000  4 Tc 3.00, 4 Li 3.00
Y 0.0000 0.0000 0.0000  4 Li 3.00, 4 Tc 3.00
Tc 0.7500 0.7500 0.7500  4 Lu 3.00, 4 Y 3.00

Properties
- energy of formation (kcal/mol of atoms) = -1.06
- DFT total energy (eV per atom) = -5.862
- total magnetic moment (μB per cell) = 0.00
- symmetry = No. 216